DFT (GGA-PBE) results for an optimized crystal structure of CdBSe2.

Lattice parameters (Å, degrees): 9.190 9.190 9.190 19.88 19.88 19.88
Positions (direct):
B1 0.500 0.500 0.500
Se1 0.882 0.882 0.882
Se2 0.118 0.118 0.118
Cd1 0.000 0.000 0.000

Total energy ... -3.30 eV per atom
Energy relative to the lowest polymorph listed for this composition ... 0.2659 eV per atom
Space-group type ... R-3m, No. 166
Total magnetic moment ... 0.000 Bohr magnetons per cell